VASP calculation (PBE+U) on Ni15O16 after structural relaxation.

As for the crystal system: trigonal. As for the density: 6.17 g/cm³. For the size of the total moment, the calculation gives 28.00 μB/f.u. As for the energy above the most stable polymorph in this dataset: 57 meV/atom.

```
Ni15O16
1.0
2.955 1.706 10.112
-2.955 1.706 10.112
0.000 -3.412 10.112
Ni O
15 16
direct
0.000 0.000 0.000
0.000 0.500 0.500
0.176 0.176 0.176
0.251 0.251 0.749
0.251 0.749 0.251
0.251 0.749 0.749
0.255 0.255 0.255
0.500 0.000 0.500
0.500 0.500 0.000
0.500 0.500 0.500
0.745 0.745 0.745
0.749 0.251 0.251
0.749 0.251 0.749
0.749 0.749 0.251
0.824 0.824 0.824
0.114 0.114 0.114
0.124 0.619 0.619
0.128 0.128 0.626
0.128 0.626 0.128
0.374 0.872 0.872
0.375 0.375 0.375
0.381 0.381 0.876
0.381 0.876 0.381
0.619 0.124 0.619
0.619 0.619 0.124
0.625 0.625 0.625
0.626 0.128 0.128
0.872 0.374 0.872
0.872 0.872 0.374
0.876 0.381 0.381
0.886 0.886 0.886
```